Entry 1:
# K3Sm3SbS8 (GGA-PBE, optimized geometry)
data_K3Sm3SbS8
_space_group_name_H-M_alt 'P 1'
_space_group_IT_number 1
_cell_length_a 8.863
_cell_length_b 8.863
_cell_length_c 8.863
_cell_angle_alpha 54.80
_cell_angle_beta 54.80
_cell_angle_gamma 54.80
loop_
_space_group_symop_operation_xyz
'x,y,z'
loop_
_atom_site_label
_atom_site_type_symbol
_atom_site_fract_x
_atom_site_fract_y
_atom_site_fract_z
K1 K 0.000 0.500 0.500
K2 K 0.500 0.000 0.500
K3 K 0.500 0.500 0.000
Sm1 Sm 0.000 0.000 0.500
Sm2 Sm 0.000 0.500 0.000
Sm3 Sm 0.500 0.000 0.000
Sb1 Sb 0.500 0.500 0.500
S1 S 0.235 0.235 0.235
S2 S 0.249 0.723 0.723
S3 S 0.277 0.277 0.751
S4 S 0.277 0.751 0.277
S5 S 0.723 0.249 0.723
S6 S 0.723 0.723 0.249
S7 S 0.751 0.277 0.277
S8 S 0.765 0.765 0.765
# Final energy   -0.18936 hartree per atom
# Raw formation energy   -1.51 eV per atom
# SG   R-3m (166)
# Fermi-level density of states   2.229 states/eV/f.u.


Entry 2:
# K2Sm2SbS6 (GGA-PBE, optimized geometry)
data_K2Sm2SbS6
_space_group_name_H-M_alt 'P 1'
_space_group_IT_number 1
_cell_length_a 6.992
_cell_length_b 6.992
_cell_length_c 7.914
_cell_angle_alpha 98.50
_cell_angle_beta 98.50
_cell_angle_gamma 119.61
loop_
_space_group_symop_operation_xyz
'x,y,z'
loop_
_atom_site_label
_atom_site_type_symbol
_atom_site_fract_x
_atom_site_fract_y
_atom_site_fract_z
K1 K 0.168 0.832 0.000
K2 K 0.832 0.168 0.000
Sm1 Sm 0.333 0.667 0.500
Sm2 Sm 0.667 0.333 0.500
Sb1 Sb 0.000 0.000 0.500
S1 S 0.064 0.384 0.697
S2 S 0.248 0.248 0.304
S3 S 0.384 0.064 0.697
S4 S 0.616 0.936 0.303
S5 S 0.752 0.752 0.696
S6 S 0.936 0.616 0.303
# Final energy   -0.18544 hartree per atom
# Raw formation energy   -1.36 eV per atom
# SG   C2/m (12)
# Fermi-level density of states   5.144 states/eV/f.u.


Entry 3:
# K2SnSbS4 (GGA-PBE, optimized geometry)
data_K2SnSbS4
_space_group_name_H-M_alt 'P 1'
_space_group_IT_number 1
_cell_length_a 6.827
_cell_length_b 6.827
_cell_length_c 6.827
_cell_angle_alpha 109.96
_cell_angle_beta 109.96
_cell_angle_gamma 108.51
loop_
_space_group_symop_operation_xyz
'x,y,z'
loop_
_atom_site_label
_atom_site_type_symbol
_atom_site_fract_x
_atom_site_fract_y
_atom_site_fract_z
K1 K 0.000 0.000 0.000
K2 K 0.750 0.250 0.500
Sn1 Sn 0.250 0.750 0.500
Sb1 Sb 0.500 0.500 0.000
S1 S 0.266 0.123 0.535
S2 S 0.269 0.734 0.856
S3 S 0.588 0.731 0.465
S4 S 0.877 0.412 0.144
# Final energy   -0.14683 hartree per atom
# Raw formation energy   -0.64 eV per atom
# SG   I-4 (82)


Entry 4:
# K2SnSb2S6 (GGA-PBE, optimized geometry)
data_K2SnSb2S6
_space_group_name_H-M_alt 'P 1'
_space_group_IT_number 1
_cell_length_a 6.823
_cell_length_b 6.823
_cell_length_c 7.990
_cell_angle_alpha 98.53
_cell_angle_beta 98.53
_cell_angle_gamma 119.49
loop_
_space_group_symop_operation_xyz
'x,y,z'
loop_
_atom_site_label
_atom_site_type_symbol
_atom_site_fract_x
_atom_site_fract_y
_atom_site_fract_z
K1 K 0.172 0.828 0.000
K2 K 0.828 0.172 0.000
Sn1 Sn 0.000 0.000 0.500
Sb1 Sb 0.330 0.670 0.500
Sb2 Sb 0.670 0.330 0.500
S1 S 0.064 0.384 0.696
S2 S 0.235 0.235 0.304
S3 S 0.384 0.064 0.696
S4 S 0.616 0.936 0.304
S5 S 0.765 0.765 0.696
S6 S 0.936 0.616 0.304
# Final energy   -0.15360 hartree per atom
# Raw formation energy   -0.62 eV per atom
# SG   C2/m (12)


Entry 5:
# K2SnSbS5 (GGA-PBE, optimized geometry)
data_K2SnSbS5
_space_group_name_H-M_alt 'P 1'
_space_group_IT_number 1
_cell_length_a 9.954
_cell_length_b 9.954
_cell_length_c 13.152
_cell_angle_alpha 90.00
_cell_angle_beta 90.00
_cell_angle_gamma 155.94
loop_
_space_group_symop_operation_xyz
'x,y,z'
loop_
_atom_site_label
_atom_site_type_symbol
_atom_site_fract_x
_atom_site_fract_y
_atom_site_fract_z
K1 K 0.117 0.883 0.500
K2 K 0.121 0.879 0.143
K3 K 0.879 0.121 0.643
K4 K 0.883 0.117 0.000
Sn1 Sn 0.229 0.771 0.866
Sn2 Sn 0.771 0.229 0.366
Sb1 Sb 0.435 0.565 0.273
Sb2 Sb 0.565 0.435 0.773
S1 S 0.047 0.953 0.871
S2 S 0.291 0.709 0.483
S3 S 0.313 0.687 0.227
S4 S 0.347 0.653 0.823
S5 S 0.490 0.510 0.116
S6 S 0.510 0.490 0.616
S7 S 0.653 0.347 0.323
S8 S 0.687 0.313 0.727
S9 S 0.709 0.291 0.983
S10 S 0.953 0.047 0.371
# Final energy   -0.14763 hartree per atom
# Raw formation energy   -0.58 eV per atom
# SG   Cmc2_1 (36)
# Fermi-level density of states   0.795 states/eV/f.u.


Entry 6:
# K2SnSbS (GGA-PBE, optimized geometry)
data_K2SnSbS
_space_group_name_H-M_alt 'P 1'
_space_group_IT_number 1
_cell_length_a 6.935
_cell_length_b 6.935
_cell_length_c 4.852
_cell_angle_alpha 90.00
_cell_angle_beta 90.00
_cell_angle_gamma 90.00
loop_
_space_group_symop_operation_xyz
'x,y,z'
loop_
_atom_site_label
_atom_site_type_symbol
_atom_site_fract_x
_atom_site_fract_y
_atom_site_fract_z
K1 K 0.000 0.500 0.000
K2 K 0.500 0.000 0.000
Sn1 Sn 0.000 0.000 0.000
Sb1 Sb 0.500 0.500 0.500
S1 S 0.000 0.000 0.500
# Final energy   -0.09948 hartree per atom
# Raw formation energy   0.18 eV per atom
# SG   P4/mmm (123)
# Fermi-level density of states   4.962 states/eV/f.u.


Entry 7:
# K2SrSbS4 (GGA-PBE, optimized geometry)
data_K2SrSbS4
_space_group_name_H-M_alt 'P 1'
_space_group_IT_number 1
_cell_length_a 8.550
_cell_length_b 8.550
_cell_length_c 8.550
_cell_angle_alpha 121.72
_cell_angle_beta 118.18
_cell_angle_gamma 90.11
loop_
_space_group_symop_operation_xyz
'x,y,z'
loop_
_atom_site_label
_atom_site_type_symbol
_atom_site_fract_x
_atom_site_fract_y
_atom_site_fract_z
K1 K 0.000 0.000 0.000
K2 K 0.500 0.000 0.000
K3 K 0.500 0.000 0.500
K4 K 0.500 0.500 0.500
Sr1 Sr 0.000 0.500 0.500
Sr2 Sr 0.500 0.500 0.000
Sb1 Sb 0.000 0.000 0.500
Sb2 Sb 0.000 0.500 0.000
S1 S 0.203 0.746 0.457
S2 S 0.211 0.254 0.957
S3 S 0.219 0.231 0.511
S4 S 0.219 0.708 0.989
S5 S 0.781 0.292 0.011
S6 S 0.781 0.769 0.489
S7 S 0.789 0.746 0.043
S8 S 0.797 0.254 0.543
# Final energy   -0.15105 hartree per atom
# Raw formation energy   -1.05 eV per atom
# SG   Imma (74)
# Fermi-level density of states   3.685 states/eV/f.u.


Entry 8:
# K2Tb2SbS6 (GGA-PBE, optimized geometry)
data_K2Tb2SbS6
_space_group_name_H-M_alt 'P 1'
_space_group_IT_number 1
_cell_length_a 6.901
_cell_length_b 6.901
_cell_length_c 7.904
_cell_angle_alpha 98.38
_cell_angle_beta 98.38
_cell_angle_gamma 119.77
loop_
_space_group_symop_operation_xyz
'x,y,z'
loop_
_atom_site_label
_atom_site_type_symbol
_atom_site_fract_x
_atom_site_fract_y
_atom_site_fract_z
K1 K 0.168 0.832 0.000
K2 K 0.832 0.168 0.000
Tb1 Tb 0.333 0.667 0.500
Tb2 Tb 0.667 0.333 0.500
Sb1 Sb 0.000 0.000 0.500
S1 S 0.064 0.388 0.695
S2 S 0.255 0.255 0.305
S3 S 0.388 0.064 0.695
S4 S 0.612 0.936 0.305
S5 S 0.745 0.745 0.695
S6 S 0.936 0.612 0.305
# Final energy   -0.18576 hartree per atom
# Raw formation energy   -1.39 eV per atom
# SG   C2/m (12)
# Fermi-level density of states   4.923 states/eV/f.u.


no.,total moment (Bohr magnetons per cell)
1,0.000
2,0.000
3,1.001
4,0.000
5,0.000
6,1.357
7,0.000
8,0.000